1.
DFT (GGA-PBE) results for a relaxed Ce4SnGeO crystal.

- SG: No. 63
- D(E_F): 3.10 states/eV per atom
- Uncorrected formation energy: -1171 meV per atom

```
data_Ce4SnGeO
_chemical_formula_sum 'Ce8 Sn2 Ge2 O2'
_cell_length_a 8.8146
_cell_length_b 8.8146
_cell_length_c 6.6606
_cell_angle_alpha 90.00
_cell_angle_beta 90.00
_cell_angle_gamma 135.68
_symmetry_space_group_name_H-M 'P 1'
_symmetry_Int_Tables_number 1
loop_
_symmetry_equiv_pos_as_xyz
'x,y,z'
loop_
_atom_site_label
_atom_site_fract_x
_atom_site_fract_y
_atom_site_fract_z
_atom_site_occupancy
Ce1 0.0000 0.5000 0.0000 1
Ce2 0.0000 0.5000 0.5000 1
Ce3 0.0736 0.9264 0.7500 1
Ce4 0.4141 0.5859 0.7500 1
Ce5 0.5000 0.0000 0.0000 1
Ce6 0.5000 0.0000 0.5000 1
Ce7 0.5859 0.4141 0.2500 1
Ce8 0.9264 0.0736 0.2500 1
Sn1 0.3918 0.6082 0.2500 1
Sn2 0.6082 0.3918 0.7500 1
Ge1 0.1166 0.8834 0.2500 1
Ge2 0.8834 0.1166 0.7500 1
O1 0.2453 0.7547 0.7500 1
O2 0.7547 0.2453 0.2500 1
```

2.
DFT (GGA-PBE) results for a relaxed SrCeGe2O8 crystal.

- SG: No. 82
- D(E_F): 0.61 states/eV per atom
- Uncorrected formation energy: -2029 meV per atom

```
data_SrCeGe2O8
_chemical_formula_sum 'Sr1 Ce1 Ge2 O8'
_cell_length_a 6.8840
_cell_length_b 6.8840
_cell_length_c 6.8840
_cell_angle_alpha 135.23
_cell_angle_beta 135.23
_cell_angle_gamma 65.17
_symmetry_space_group_name_H-M 'P 1'
_symmetry_Int_Tables_number 1
loop_
_symmetry_equiv_pos_as_xyz
'x,y,z'
loop_
_atom_site_label
_atom_site_fract_x
_atom_site_fract_y
_atom_site_fract_z
_atom_site_occupancy
Sr1 0.0000 0.0000 0.0000 1
Ce1 0.7500 0.2500 0.5000 1
Ge1 0.2500 0.7500 0.5000 1
Ge2 0.5000 0.5000 0.0000 1
O1 0.0146 0.9257 0.5896 1
O2 0.0743 0.6639 0.0889 1
O3 0.1631 0.2831 0.6192 1
O4 0.3361 0.4250 0.4104 1
O5 0.4561 0.8369 0.1199 1
O6 0.5750 0.9854 0.9111 1
O7 0.6639 0.5439 0.3808 1
O8 0.7169 0.3361 0.8801 1
```

3.
DFT (GGA-PBE) results for a relaxed TbCeGe2O8 crystal.

- SG: No. 82
- D(E_F): 0.64 states/eV per atom
- Uncorrected formation energy: -2379 meV per atom

```
data_TbCeGe2O8
_chemical_formula_sum 'Tb1 Ce1 Ge2 O8'
_cell_length_a 6.7000
_cell_length_b 6.7000
_cell_length_c 6.7000
_cell_angle_alpha 135.04
_cell_angle_beta 135.04
_cell_angle_gamma 65.47
_symmetry_space_group_name_H-M 'P 1'
_symmetry_Int_Tables_number 1
loop_
_symmetry_equiv_pos_as_xyz
'x,y,z'
loop_
_atom_site_label
_atom_site_fract_x
_atom_site_fract_y
_atom_site_fract_z
_atom_site_occupancy
Tb1 0.0000 0.0000 0.0000 1
Ce1 0.7500 0.2500 0.5000 1
Ge1 0.2500 0.7500 0.5000 1
Ge2 0.5000 0.5000 0.0000 1
O1 0.0121 0.9246 0.5991 1
O2 0.0754 0.6746 0.0876 1
O3 0.1629 0.2625 0.5892 1
O4 0.3254 0.4130 0.4009 1
O5 0.4263 0.8371 0.0996 1
O6 0.5870 0.9879 0.9124 1
O7 0.6733 0.5737 0.4108 1
O8 0.7375 0.3267 0.9004 1
```